{
  "formula": "SmPaOs",
  "functional": "PBE",
  "state": "relaxed",
  "total_energy_ev_per_atom": -8.520,
  "dos_at_fermi_per_ev_atom": 1.158,
  "density_g_cm3": 11.4,
  "spacegroup": "No. 64",
  "cell": [[4.7067, -4.9465, 0.0000], [4.7067, 4.9465, 0.0000], [0.0000, 0.0000, 7.1342]],
  "species": ["Sm", "Sm", "Sm", "Sm", "Pa", "Pa", "Pa", "Pa", "Os", "Os", "Os", "Os"],
  "frac_coords": [[0.2007, 0.2007, 0.0000], [0.2993, 0.2993, 0.5000], [0.7007, 0.7007, 0.5000], [0.7993, 0.7993, 0.0000], [0.2101, 0.7899, 0.6689], [0.2899, 0.7101, 0.1689], [0.7101, 0.2899, 0.8311], [0.7899, 0.2101, 0.3311], [0.0566, 0.9434, 0.3201], [0.4434, 0.5566, 0.8201], [0.5566, 0.4434, 0.1799], [0.9434, 0.0566, 0.6799]]
}